Here is crystalline SrAlTe2 at its relaxed geometry from Alexandria via LeMat-Bulk. Energies are from PBE.

The structure in extended XYZ format:
```
4
Lattice="8.101 0.027 0.062 -2.991 4.458 -0.022 2.120 1.457 3.312" Properties=species:S:1:pos:R:3 pbc="T T T"
Te 5.110 0.742 1.687
Sr 2.555 2.243 0.020
Te 0.000 0.000 0.000
Al -0.435 2.958 1.645
```

Properties
formation energy (no corrections)	-617	meV/atom

---

Here is crystalline MoIrPb at its relaxed geometry from Alexandria via LeMat-Bulk. Energies are from PBE.

The structure in extended XYZ format:
```
3
Lattice="4.435 0.000 0.000 2.217 3.840 0.000 2.217 1.280 3.621" Properties=species:S:1:pos:R:3 pbc="T T T"
Mo 0.000 0.000 0.000
Ir 2.217 1.280 0.905
Pb 4.435 2.560 1.810
```

Properties
E_form	389	meV per atom

---

Here is crystalline AgAs2Br at its relaxed geometry from Alexandria via LeMat-Bulk. Energies are from PBE.

The structure in extended XYZ format:
```
4
Lattice="-0.254 3.147 0.143 -2.157 -2.076 -1.012 -4.402 -0.864 11.159" Properties=species:S:1:pos:R:3 pbc="T T T"
As -2.448 -0.481 6.205
As -4.155 -0.816 10.533
Ag -4.508 -0.113 7.935
Br -2.306 0.319 2.356
```

Properties
formation energy (no corrections)	316	meV/atom
energy relative to the lowest polymorph listed for this composition	446.0	meV/atom

---

Here is crystalline Ir2Au at its relaxed geometry from Alexandria via LeMat-Bulk. Energies are from PBE.

The structure in extended XYZ format:
```
3
Lattice="-2.982 2.715 -0.039 -0.435 -3.444 2.053 1.492 1.684 3.141" Properties=species:S:1:pos:R:3 pbc="T T T"
Ir -0.671 -0.700 2.646
Ir -1.254 1.654 2.510
Au 0.000 0.000 0.000
```

Properties
E_form	760	meV per atom
energy relative to the lowest polymorph listed for this composition	537.2	meV/atom